Ti3Pd2: relaxed, PBE.

Geometry as CIF:
```
data_Ti3Pd2
_chemical_formula_sum 'Ti12 Pd8'
_cell_length_a 9.678
_cell_length_b 2.836
_cell_length_c 11.995
_cell_angle_alpha 90.00
_cell_angle_beta 90.00
_cell_angle_gamma 90.00
_symmetry_space_group_name_H-M 'P n m a'
_symmetry_Int_Tables_number 62
_symmetry_space_group_name_Hall '-P 2ac 2n'
loop_
_atom_site_label
_atom_site_fract_x
_atom_site_fract_y
_atom_site_fract_z
Ti1 0.083 0.250 0.118
Ti2 0.120 0.750 0.546
Ti3 0.184 0.250 0.741
Pd1 0.069 0.750 0.320
Pd2 0.182 0.750 0.938
```

Output
The value obtained for the raw total energy is -7.12 eV per atom.



TiPd: relaxed, PBE.

Geometry as CIF:
```
data_TiPd
_chemical_formula_sum 'Ti8 Pd8'
_cell_length_a 4.975
_cell_length_b 5.335
_cell_length_c 9.638
_cell_angle_alpha 90.00
_cell_angle_beta 90.00
_cell_angle_gamma 90.00
_symmetry_space_group_name_H-M 'P 21 21 21'
_symmetry_Int_Tables_number 19
_symmetry_space_group_name_Hall 'P 2ac 2ab'
loop_
_atom_site_label
_atom_site_fract_x
_atom_site_fract_y
_atom_site_fract_z
Ti1 0.059 0.185 0.274
Ti2 0.206 0.387 0.959
Pd1 0.037 0.505 0.698
Pd2 0.241 0.894 0.039
```

Output
The value obtained for the raw total energy is -7.00 eV per atom.



Ti3Pd: relaxed, PBE.

Geometry as CIF:
```
data_Ti3Pd
_chemical_formula_sum 'Ti6 Pd2'
_cell_length_a 5.057
_cell_length_b 5.057
_cell_length_c 5.057
_cell_angle_alpha 90.00
_cell_angle_beta 90.00
_cell_angle_gamma 90.00
_symmetry_space_group_name_H-M 'P m -3 n'
_symmetry_Int_Tables_number 223
_symmetry_space_group_name_Hall '-P 4n 2 3'
loop_
_atom_site_label
_atom_site_fract_x
_atom_site_fract_y
_atom_site_fract_z
Ti1 0.000 0.250 0.500
Pd1 0.000 0.000 0.000
```

Output
The value obtained for the raw total energy is -7.56 eV per atom.



TiPd: relaxed, PBE.

Geometry as CIF:
```
data_TiPd
_chemical_formula_sum 'Ti4 Pd4'
_cell_length_a 5.178
_cell_length_b 5.178
_cell_length_c 5.168
_cell_angle_alpha 90.00
_cell_angle_beta 90.00
_cell_angle_gamma 90.00
_symmetry_space_group_name_H-M 'P 42/m n m'
_symmetry_Int_Tables_number 136
_symmetry_space_group_name_Hall '-P 4n 2n'
loop_
_atom_site_label
_atom_site_fract_x
_atom_site_fract_y
_atom_site_fract_z
Ti1 0.198 0.198 0.000
Pd1 0.193 0.193 0.500
```

Output
The value obtained for the raw total energy is -6.74 eV per atom.



Ti5Pd: relaxed, PBE.

Geometry as CIF:
```
data_Ti5Pd
_chemical_formula_sum 'Ti10 Pd2'
_cell_length_a 4.401
_cell_length_b 13.766
_cell_length_c 3.279
_cell_angle_alpha 90.00
_cell_angle_beta 90.00
_cell_angle_gamma 90.00
_symmetry_space_group_name_H-M 'C m m m'
_symmetry_Int_Tables_number 65
_symmetry_space_group_name_Hall '-C 2 2'
loop_
_atom_site_label
_atom_site_fract_x
_atom_site_fract_y
_atom_site_fract_z
Ti1 0.000 0.000 0.000
Ti2 0.000 0.177 0.500
Ti3 0.000 0.341 0.000
Pd1 0.000 0.500 0.500
```

Output
The value obtained for the raw total energy is -7.62 eV per atom.



TiPd4: relaxed, PBE.

Geometry as CIF:
```
data_TiPd4
_chemical_formula_sum 'Ti2 Pd8'
_cell_length_a 4.979
_cell_length_b 4.641
_cell_length_c 7.336
_cell_angle_alpha 90.00
_cell_angle_beta 113.78
_cell_angle_gamma 90.00
_symmetry_space_group_name_H-M 'P 1 21/c 1'
_symmetry_Int_Tables_number 14
_symmetry_space_group_name_Hall '-P 2ybc'
loop_
_atom_site_label
_atom_site_fract_x
_atom_site_fract_y
_atom_site_fract_z
Ti1 0.000 0.000 0.000
Pd1 0.191 0.039 0.395
Pd2 0.413 0.544 0.304
```

Output
The value obtained for the raw total energy is -6.13 eV per atom.



Ti5Pd3: relaxed, PBE.

Geometry as CIF:
```
data_Ti5Pd3
_chemical_formula_sum 'Ti5 Pd3'
_cell_length_a 2.929
_cell_length_b 2.929
_cell_length_c 14.972
_cell_angle_alpha 90.00
_cell_angle_beta 90.00
_cell_angle_gamma 90.00
_symmetry_space_group_name_H-M 'P 4/m m m'
_symmetry_Int_Tables_number 123
_symmetry_space_group_name_Hall '-P 4 2'
loop_
_atom_site_label
_atom_site_fract_x
_atom_site_fract_y
_atom_site_fract_z
Ti1 0.000 0.000 0.000
Ti2 0.000 0.000 0.248
Ti3 0.500 0.500 0.374
Pd1 0.000 0.000 0.500
Pd2 0.500 0.500 0.127
```

Output
The value obtained for the raw total energy is -7.34 eV per atom.



TiPd4: relaxed, PBE.

Geometry as CIF:
```
data_TiPd4
_chemical_formula_sum 'Ti1 Pd4'
_cell_length_a 4.583
_cell_length_b 4.583
_cell_length_c 4.583
_cell_angle_alpha 90.00
_cell_angle_beta 90.00
_cell_angle_gamma 90.00
_symmetry_space_group_name_H-M 'P m -3 m'
_symmetry_Int_Tables_number 221
_symmetry_space_group_name_Hall '-P 4 2 3'
loop_
_atom_site_label
_atom_site_fract_x
_atom_site_fract_y
_atom_site_fract_z
Ti1 0.000 0.000 0.000
Pd1 0.000 0.000 0.500
Pd2 0.500 0.500 0.500
```

Output
The value obtained for the raw total energy is -5.23 eV per atom.



Q: Which formula does entry 1 have?
A: Ti3Pd2